The following is a DFT calculation (PBE-GGA) of a relaxed structure of ZnGeTe.

Results
DOS at the Fermi energy, states/eV per cell: 0.4
SG: Pm
ΔE_f (raw), eV/f.u.: 0.12
V, Å³ per atom: 27.56

Structure (POSCAR):
```
ZnGeTe
1.0
4.5945 0.0000 0.0000
0.0000 4.1200 0.0000
-1.7478 0.0000 4.3671
Zn Ge Te
1 1 1
direct
0.0000 0.0000 0.0000
0.1923 0.0000 0.5611
0.6191 0.5000 0.6137
```

The following is a DFT calculation (PBE-GGA) of a relaxed structure of AcTm2Zr.

Results
DOS at the Fermi energy, states/eV per cell: 6.1
SG: R3m
Formation enthalpy at 0 K, meV per atom: 156
V, Å³ per atom: 31.22

Structure (POSCAR):
```
AcTm2Zr
1.0
1.7764 1.0256 11.4228
-1.7764 1.0256 11.4228
0.0000 -2.0512 11.4228
Ac Tm Zr
1 2 1
direct
0.0000 0.0000 0.0000
0.2419 0.2419 0.2419
0.4261 0.4261 0.4261
0.8343 0.8343 0.8343
```

The following is a DFT calculation (PBE-GGA) of a relaxed structure of Rb2Na2CoH6.

Results
DOS at the Fermi energy, states/eV per cell: 1.6
SG: C2/m
DFT total energy, eV per cell: -33.098
V, Å³ per atom: 18.83

Structure (POSCAR):
```
Rb2Na2CoH6
1.0
3.2015 -5.9933 0.0000
3.2015 5.9933 0.0000
-0.4440 0.0000 5.3972
Rb Na Co H
2 2 1 6
direct
0.1569 0.8431 0.0000
0.8431 0.1569 0.0000
0.3826 0.6174 0.5000
0.6174 0.3826 0.5000
0.5000 0.5000 0.0000
0.2779 0.4657 0.8567
0.3287 0.3287 0.1922
0.4657 0.2779 0.8567
0.5343 0.7221 0.1433
0.6713 0.6713 0.8078
0.7221 0.5343 0.1433
```

The following is a DFT calculation (PBE-GGA) of a relaxed structure of Tm12IrAu6.

Results
DOS at the Fermi energy, states/eV per cell: 18.4
SG: R-3
Formation enthalpy at 0 K, meV per atom: -552
V, Å³ per atom: 28.41

Structure (POSCAR):
```
Tm12IrAu6
1.0
6.2525 3.6099 3.9855
-6.2525 3.6099 3.9855
0.0000 -7.2197 3.9855
Tm Ir Au
12 1 6
direct
0.0405 0.6815 0.9312
0.0688 0.9595 0.3185
0.1826 0.4278 0.5791
0.3185 0.0688 0.9595
0.4209 0.8174 0.5722
0.4278 0.5791 0.1826
0.5722 0.4209 0.8174
0.5791 0.1826 0.4278
0.6815 0.9312 0.0405
0.8174 0.5722 0.4209
0.9312 0.0405 0.6815
0.9595 0.3185 0.0688
0.0000 0.0000 0.0000
0.1323 0.6213 0.3056
0.3056 0.1323 0.6213
0.3787 0.6944 0.8677
0.6213 0.3056 0.1323
0.6944 0.8677 0.3787
0.8677 0.3787 0.6944
```

The following is a DFT calculation (PBE-GGA) of a relaxed structure of Pm3ZnIr2.

Results
DOS at the Fermi energy, states/eV per cell: 14.8
SG: Pnma
Formation enthalpy at 0 K, meV per atom: -597
V, Å³ per atom: 24.09

Structure (POSCAR):
```
Pm3ZnIr2
1.0
11.9227 0.0000 0.0000
0.0000 4.1010 0.0000
0.0000 0.0000 11.8234
Pm Zn Ir
12 4 8
direct
0.0532 0.2500 0.1240
0.1283 0.7500 0.5730
0.1997 0.2500 0.8216
0.3003 0.7500 0.3216
0.3717 0.2500 0.0730
0.4468 0.7500 0.6240
0.5532 0.2500 0.3760
0.6283 0.7500 0.9270
0.6997 0.2500 0.6784
0.8003 0.7500 0.1784
0.8717 0.2500 0.4270
0.9468 0.7500 0.8760
0.1237 0.2500 0.3785
0.3763 0.7500 0.8785
0.6237 0.2500 0.1215
0.8763 0.7500 0.6215
0.0118 0.7500 0.3117
0.1843 0.7500 0.9912
0.3157 0.2500 0.4912
0.4882 0.2500 0.8117
0.5118 0.7500 0.1883
0.6843 0.7500 0.5088
0.8157 0.2500 0.0088
0.9882 0.2500 0.6883
```

The following is a DFT calculation (PBE-GGA) of a relaxed structure of LiZrSc2.

Results
DOS at the Fermi energy, states/eV per cell: 7.4
SG: Pmmm
Formation enthalpy at 0 K, meV per atom: 163
V, Å³ per atom: 22.87

Structure (POSCAR):
```
LiZrSc2
1.0
3.2427 0.0000 0.0000
0.0000 4.3542 0.0000
0.0000 0.0000 6.4778
Li Zr Sc
1 1 2
direct
0.0000 0.0000 0.0000
0.0000 0.0000 0.5000
0.5000 0.5000 0.2588
0.5000 0.5000 0.7412
```

Q: Which of these has the highest DOS at the Fermi energy?
A: Tm12IrAu6

What did the first record say?
The following is a DFT calculation (PBE-GGA) of a relaxed structure of ZnGeTe.

Results
DOS at the Fermi energy, states/eV per cell: 0.4
SG: Pm
ΔE_f (raw), eV/f.u.: 0.12
V, Å³ per atom: 27.56

Structure (POSCAR):
```
ZnGeTe
1.0
4.5945 0.0000 0.0000
0.0000 4.1200 0.0000
-1.7478 0.0000 4.3671
Zn Ge Te
1 1 1
direct
0.0000 0.0000 0.0000
0.1923 0.0000 0.5611
0.6191 0.5000 0.6137
```

Q: Among the records above, which one has the lowest V?
A: Rb2Na2CoH6